No. 1
Entry from Alexandria via LeMat-Bulk: a relaxed structure of Th4GeTe2Ir (GGA-PBE).

Computed properties:
Energy = -57.78 eV/cell
Total moment = 0.00 μB per formula unit
Calculated volume = 240 Å³ per cell
ΔE_f (raw) = -100.53 kJ/mol of atoms
ρ = 10.0 g/cm3

Cell: 4.2164 7.6542 7.8087 Å, 107.98 90.00 90.00°
With the nearest neighbours (Å) after each atom.
Atoms (fractional coordinates):
Th 0.5000 0.2454 0.2171  1 Ir 2.95, 2 Ge 2.98, 2 Te 3.23
Th 0.0000 0.2792 0.7951  2 Ir 2.86, 1 Ge 3.04
Th 0.0000 0.7208 0.2049  2 Ir 2.86, 1 Ge 3.04
Th 0.5000 0.7546 0.7829  1 Ir 2.95, 2 Ge 2.98, 2 Te 3.23
Te 0.0000 0.5000 0.5000  6 Th 3.23-3.25
Te 0.5000 0.0000 0.5000  6 Th 3.31-3.36
Ir 0.5000 0.5000 0.0000  6 Th 2.86-2.95
Ge 0.0000 0.0000 0.0000  6 Th 2.98-3.04

No. 2
Entry from Alexandria via LeMat-Bulk: a relaxed structure of ErZnAu4 (GGA-PBE).

Computed properties:
Energy = -43.45 eV/cell
Total moment = 0.00 μB per formula unit
Formation energy from the elements = -0.463 eV/atom
Calculated volume = 230 Å³ per cell
ρ = 14.7 g/cm3

Cell: 5.0648 5.0645 9.7872 Å, 106.40 106.42 89.92°
With the nearest neighbours (Å) after each atom.
Atoms (fractional coordinates):
Au 0.9359 0.9355 0.3455  5 Au 2.79-2.96, 4 Zn 2.80-2.98, 1 Er 3.10
Au 0.4357 0.4355 0.3455  5 Au 2.79-2.96, 4 Zn 2.80-2.98, 1 Er 3.10
Au 0.1531 0.6532 0.8221  1 Zn 2.89, 5 Au 2.93-3.19, 4 Er 2.99
Au 0.6531 0.1533 0.8222  1 Zn 2.90, 5 Au 2.93-3.19, 4 Er 2.99
Au 0.8469 0.3468 0.1779  1 Zn 2.89, 5 Au 2.93-3.19, 4 Er 2.99
Au 0.5643 0.5645 0.6545  5 Au 2.79-2.96, 4 Zn 2.80-2.98, 1 Er 3.10
Au 0.0641 0.0645 0.6545  5 Au 2.79-2.96, 4 Zn 2.80-2.98, 1 Er 3.10
Au 0.3469 0.8467 0.1778  1 Zn 2.90, 5 Au 2.93-3.19, 4 Er 2.99
Er 0.7500 0.7500 0.0000  10 Au 2.99-3.10
Er 0.2500 0.2500 0.0000  10 Au 2.99-3.10
Zn 0.5000 0.0000 0.5000  10 Au 2.80-2.98
Zn 0.0000 0.5000 0.5000  10 Au 2.80-2.98

Q: Number 1 is which compound?
A: Th4GeTe2Ir

Q: Among the records above, which one has the lowest ρ?
A: Th4GeTe2Ir